# 1
! PBE LiYGaPb, relaxed; values from VASP
&SYSTEM
  ibrav = 0, nat = 4, ntyp = 4
/
ATOMIC_SPECIES
Y 88.91 Y.upf
Pb 207.20 Pb.upf
Ga 69.72 Ga.upf
Li 6.94 Li.upf
CELL_PARAMETERS angstrom
5.098 0.000 0.000
2.549 4.415 0.000
2.549 1.472 4.162
ATOMIC_POSITIONS crystal
Y 0.250 0.250 0.250
Pb 0.000 0.000 0.000
Ga 0.500 0.500 0.500
Li 0.750 0.750 0.750
! Total DFT energy (no corrections): -4.121 eV per atom
! Formation energy: -343 meV/atom



# 2
! PBE ZrScTc, relaxed; values from VASP
&SYSTEM
  ibrav = 0, nat = 3, ntyp = 3
/
ATOMIC_SPECIES
Zr 91.22 Zr.upf
Tc 98.00 Tc.upf
Sc 44.96 Sc.upf
CELL_PARAMETERS angstrom
-3.062 -3.015 1.644
0.605 0.420 -4.541
2.212 -2.196 0.091
ATOMIC_POSITIONS crystal
Zr 0.333 0.667 0.614
Tc 0.667 0.333 0.334
Sc 0.000 0.000 0.052
! Total DFT energy (no corrections): -8.562 eV per atom
! Formation energy: -146 meV/atom



# 3
! PBE MnTcRhW, relaxed; values from VASP
&SYSTEM
  ibrav = 0, nat = 4, ntyp = 4
/
ATOMIC_SPECIES
Rh 102.91 Rh.upf
Mn 54.94 Mn.upf
W 183.84 W.upf
Tc 98.00 Tc.upf
CELL_PARAMETERS angstrom
-1.044 -0.838 -4.161
-2.664 -3.330 -0.956
-4.052 0.787 -1.437
ATOMIC_POSITIONS crystal
Rh 0.250 0.250 0.250
Mn 0.000 0.000 0.000
W 0.500 0.500 0.500
Tc 0.750 0.750 0.750
! Total DFT energy (no corrections): -9.962 eV per atom
! Formation energy: -1 meV/atom



Please write out number 1 again, unchanged.
! PBE LiYGaPb, relaxed; values from VASP
&SYSTEM
  ibrav = 0, nat = 4, ntyp = 4
/
ATOMIC_SPECIES
Y 88.91 Y.upf
Pb 207.20 Pb.upf
Ga 69.72 Ga.upf
Li 6.94 Li.upf
CELL_PARAMETERS angstrom
5.098 0.000 0.000
2.549 4.415 0.000
2.549 1.472 4.162
ATOMIC_POSITIONS crystal
Y 0.250 0.250 0.250
Pb 0.000 0.000 0.000
Ga 0.500 0.500 0.500
Li 0.750 0.750 0.750
! Total DFT energy (no corrections): -4.121 eV per atom
! Formation energy: -343 meV/atom



> total DFT energy (no corrections) of number 2 (ZrScTc)?

-8.562 eV per atom



> formation energy of number 3 (MnTcRhW)?

-1 meV/atom